An optimized crystal structure of Pm2Ga2Ge3, computed with PBE-GGA.

Values from the calculation:
For the energy relative to the elements, the calculation gives -0.510 eV per atom.

Cell lengths 4.306, 6.530, 5.907 Å; angles 100.69, 111.37, 90.00 degrees
Atoms (fractional coordinates):
Pm: 0.614 0.792 0.228
Pm: 0.386 0.208 0.772
Ga: 0.902 0.865 0.805
Ga: 0.098 0.135 0.195
Ge: 0.000 0.500 0.000
Ge: 0.304 0.663 0.608
Ge: 0.696 0.337 0.392

An optimized crystal structure of Pm2GaGe, computed with PBE-GGA.

Values from the calculation:
For the energy relative to the elements, the calculation gives -0.606 eV per atom.

Cell lengths 4.086, 4.890, 4.890 Å; angles 90.00, 90.00, 90.00 degrees
Atoms (fractional coordinates):
Ge: 0.500 0.000 0.000
Ga: 0.500 0.500 0.500
Pm: 0.000 0.000 0.500
Pm: 0.000 0.500 0.000

An optimized crystal structure of Pm3Ga2Ge3, computed with PBE-GGA.

Values from the calculation:
For the energy relative to the elements, the calculation gives -0.680 eV per atom.

Cell lengths 4.244, 6.025, 15.062 Å; angles 90.00, 90.00, 110.63 degrees
Atoms (fractional coordinates):
Pm: 0.938 0.877 0.387
Pm: 0.062 0.123 0.887
Pm: 0.938 0.877 0.113
Pm: 0.062 0.123 0.613
Pm: 0.654 0.308 0.250
Pm: 0.346 0.692 0.750
Ga: 0.776 0.553 0.892
Ga: 0.224 0.447 0.392
Ga: 0.776 0.553 0.608
Ga: 0.224 0.447 0.108
Ge: 0.620 0.240 0.462
Ge: 0.380 0.760 0.962
Ge: 0.620 0.240 0.038
Ge: 0.380 0.760 0.538
Ge: 0.378 0.755 0.250
Ge: 0.622 0.245 0.750

An optimized crystal structure of Pm2GaGe2, computed with PBE-GGA.

Values from the calculation:
For the energy relative to the elements, the calculation gives -0.661 eV per atom.

Cell lengths 4.226, 6.881, 8.745 Å; angles 90.00, 103.98, 90.00 degrees
Atoms (fractional coordinates):
Pm: 0.977 0.734 0.953
Pm: 0.794 0.408 0.587
Pm: 0.206 0.908 0.413
Pm: 0.023 0.234 0.047
Ga: 0.397 0.081 0.794
Ga: 0.603 0.581 0.206
Ge: 0.419 0.449 0.838
Ge: 0.828 0.962 0.656
Ge: 0.172 0.462 0.344
Ge: 0.581 0.949 0.162